The following is a PBE calculation of a relaxed structure of Nb4TlHO5, from OQMD.

Values from the calculation:
Space-group type: P4/mmm
Crystal system: tetragonal
Final energy, eV/atom: -8.134

Lattice parameters (Å, degrees): 4.204 4.204 8.128 90.00 90.00 90.00
Atoms (fractional coordinates):
Nb: 0.000 0.000 0.248
Nb: 0.000 0.000 0.752
Nb: 0.000 0.500 0.500
Nb: 0.500 0.000 0.500
Tl: 0.500 0.500 0.000
H: 0.000 0.000 0.000
O: 0.000 0.500 0.242
O: 0.000 0.500 0.758
O: 0.500 0.000 0.242
O: 0.500 0.000 0.758
O: 0.500 0.500 0.500

The following is a PBE calculation of a relaxed structure of PrNbH4, from OQMD.

Values from the calculation:
Space-group type: P4/mmm
Crystal system: tetragonal
Final energy, eV/atom: -5.057

Lattice parameters (Å, degrees): 3.425 3.425 5.252 90.00 90.00 90.00
Atoms (fractional coordinates):
Pr: 0.000 0.000 0.000
Nb: 0.500 0.500 0.500
H: 0.000 0.500 0.305
H: 0.000 0.500 0.695
H: 0.500 0.000 0.305
H: 0.500 0.000 0.695

Which of these has the lowest final energy? Nb4TlHO5

Which of these has the highest final energy? PrNbH4

What did the first record say?
The following is a PBE calculation of a relaxed structure of Nb4TlHO5, from OQMD.

Values from the calculation:
Space-group type: P4/mmm
Crystal system: tetragonal
Final energy, eV/atom: -8.134

Lattice parameters (Å, degrees): 4.204 4.204 8.128 90.00 90.00 90.00
Atoms (fractional coordinates):
Nb: 0.000 0.000 0.248
Nb: 0.000 0.000 0.752
Nb: 0.000 0.500 0.500
Nb: 0.500 0.000 0.500
Tl: 0.500 0.500 0.000
H: 0.000 0.000 0.000
O: 0.000 0.500 0.242
O: 0.000 0.500 0.758
O: 0.500 0.000 0.242
O: 0.500 0.000 0.758
O: 0.500 0.500 0.500

The lowest final energy belongs to which entry? Nb4TlHO5